Computed, not measured: a geometry-optimized SmVPd structure at the PBE-GGA level of DFT.

Structure (extended XYZ):
```
6
Lattice="5.0673 0.0000 0.0000 -2.5337 2.5368 0.0000 0.0000 0.0000 9.6820" Properties=species:S:1:pos:R:3 pbc="T T T"
Pd 2.5337 0.9854 0.0000
Pd 0.0000 0.9872 4.8410
V 2.5337 0.9872 3.8679
V 2.5337 0.9872 5.8141
Sm 0.0000 0.9859 7.9201
Sm 0.0000 0.9859 1.7619
```

Calculated density, g/cm3: 8.21
Total moment, Bohr magnetons per cell: 0.00
Density of states at the Fermi level, states/eV/atom: 1.251
E_tot, eV per cell: -38.63
Space-group type: No. 123